# YTlCoHg | OQMD | PBE | relaxed
data_YTlCoHg
_cell_length_a 6.9656
_cell_length_b 6.9656
_cell_length_c 6.9656
_cell_angle_alpha 90.00
_cell_angle_beta 90.00
_cell_angle_gamma 90.00
_space_group_name_H-M_alt 'F -4 3 m'
_space_group_IT_number 216
_space_group_name_Hall 'F -4 2 3'
loop_
_atom_site_label
_atom_site_type_symbol
_atom_site_fract_x
_atom_site_fract_y
_atom_site_fract_z
Y1 Y 0.0000 0.0000 0.0000
Tl1 Tl 0.2500 0.2500 0.2500
Co1 Co 0.0000 0.0000 0.5000
Hg1 Hg 0.2500 0.2500 0.7500
# **Mass density**: 10.864 g/cm3
# **E**: -4.000 eV/atom



# ZrTlCoHg | OQMD | PBE | relaxed
data_ZrTlCoHg
_cell_length_a 6.7377
_cell_length_b 6.7377
_cell_length_c 6.7377
_cell_angle_alpha 90.00
_cell_angle_beta 90.00
_cell_angle_gamma 90.00
_space_group_name_H-M_alt 'F -4 3 m'
_space_group_IT_number 216
_space_group_name_Hall 'F -4 2 3'
loop_
_atom_site_label
_atom_site_type_symbol
_atom_site_fract_x
_atom_site_fract_y
_atom_site_fract_z
Zr1 Zr 0.0000 0.0000 0.0000
Tl1 Tl 0.2500 0.2500 0.2500
Co1 Co 0.0000 0.0000 0.5000
Hg1 Hg 0.2500 0.2500 0.7500
# **Mass density**: 12.055 g/cm3
# **E**: -4.341 eV/atom



# ZrTlCoHg | OQMD | PBE | relaxed
data_ZrTlCoHg
_cell_length_a 6.7784
_cell_length_b 6.7784
_cell_length_c 6.7784
_cell_angle_alpha 90.00
_cell_angle_beta 90.00
_cell_angle_gamma 90.00
_space_group_name_H-M_alt 'F -4 3 m'
_space_group_IT_number 216
_space_group_name_Hall 'F -4 2 3'
loop_
_atom_site_label
_atom_site_type_symbol
_atom_site_fract_x
_atom_site_fract_y
_atom_site_fract_z
Zr1 Zr 0.0000 0.0000 0.0000
Tl1 Tl 0.0000 0.0000 0.5000
Co1 Co 0.2500 0.2500 0.7500
Hg1 Hg 0.2500 0.2500 0.2500
# **Mass density**: 11.839 g/cm3
# **E**: -4.319 eV/atom



# Tm6Co2Hg | OQMD | PBE | relaxed
data_Tm6Co2Hg
_cell_length_a 9.2065
_cell_length_b 9.4179
_cell_length_c 9.8325
_cell_angle_alpha 90.00
_cell_angle_beta 90.00
_cell_angle_gamma 90.00
_space_group_name_H-M_alt 'I m m m'
_space_group_IT_number 71
_space_group_name_Hall '-I 2 2'
loop_
_atom_site_label
_atom_site_type_symbol
_atom_site_fract_x
_atom_site_fract_y
_atom_site_fract_z
Tm1 Tm 0.0000 0.2086 0.2294
Tm2 Tm 0.1983 0.5000 0.1835
Tm3 Tm 0.2099 0.3126 0.5000
Co1 Co 0.0000 0.3777 0.0000
Co2 Co 0.0000 0.5000 0.3862
Hg1 Hg 0.0000 0.0000 0.0000
Hg2 Hg 0.0000 0.0000 0.5000
# **Mass density**: 10.378 g/cm3
# **ΔE_f**: -0.284 eV/atom



Q: Among the records above, which one has the lowest mass density?
A: Tm6Co2Hg



Q: Look up the mass density of the third one.
A: 11.839 g/cm3



Q: Number 1 is which compound?
A: YTlCoHg